[1]
# CaAlZn4Cu2

A geometry-optimized CaAlZn4Cu2 structure (PBE, the Alexandria database).

abc: 9.4713 9.4713 9.4713
angles: 25.63 25.63 25.63
With the nearest neighbours (Å) after each atom.
Positions (direct):
Ca 0.0000 0.0000 0.0000  8 Zn 3.11-3.37
Al 0.5000 0.5000 0.5000  8 Zn 2.64-2.71
Zn 0.1225 0.1225 0.1225  3 Cu 2.48, 3 Al 2.71
Zn 0.4040 0.4040 0.4040  3 Cu 2.59, 1 Al 2.64, 3 Zn 2.81
Zn 0.5960 0.5960 0.5960  3 Cu 2.59, 1 Al 2.64, 3 Zn 2.81
Zn 0.8775 0.8775 0.8775  3 Cu 2.48, 3 Al 2.71
Cu 0.2294 0.2294 0.2294  6 Zn 2.48-2.59
Cu 0.7706 0.7706 0.7706  6 Zn 2.48-2.59

## Properties
crystal system	trigonal
ΔE_f	-0.082	eV per atom
total energy	-2.461	eV/atom
total magnetization	0.0	μB/f.u.


[2]
# Er4CdGaRu2

A geometry-optimized Er4CdGaRu2 structure (PBE, the Alexandria database).

abc: 8.5763 8.5763 8.5763
angles: 33.42 33.42 33.42
With the nearest neighbours (Å) after each atom.
Positions (direct):
Er 0.1229 0.1229 0.1229  1 Ga 2.98, 4 Ru 3.00-3.08, 3 Cd 3.04
Er 0.3735 0.3735 0.3735  4 Ru 3.00-3.04, 3 Ga 3.01, 1 Cd 3.07
Er 0.6265 0.6265 0.6265  4 Ru 3.00-3.04, 3 Ga 3.01, 1 Cd 3.07
Er 0.8771 0.8771 0.8771  1 Ga 2.98, 4 Ru 3.00-3.08, 3 Cd 3.04
Cd 0.5000 0.5000 0.5000  8 Er 3.04-3.07
Ga 0.0000 0.0000 0.0000  8 Er 2.98-3.01
Ru 0.2498 0.2498 0.2498  8 Er 3.00-3.08
Ru 0.7502 0.7502 0.7502  8 Er 3.00-3.08

## Properties
crystal system	trigonal
ΔE_f	-0.401	eV per atom
total energy	-5.494	eV/atom
total magnetization	0.0	μB/f.u.


[3]
# BaZrBe

A geometry-optimized BaZrBe structure (PBE, the Alexandria database).

abc: 7.6154 7.6154 6.4442
angles: 90.00 90.00 153.69
With the nearest neighbours (Å) after each atom.
Positions (direct):
Ba 0.1668 0.8332 0.7500  4 Be 3.42, 2 Ba 3.47, 3 Zr 3.51-3.56
Ba 0.8332 0.1668 0.2500  4 Be 3.42, 2 Ba 3.47, 3 Zr 3.51-3.56
Zr 0.0734 0.9266 0.2500  4 Be 2.60
Zr 0.9266 0.0734 0.7500  4 Be 2.60
Be 0.5000 0.5000 0.0000  4 Zr 2.60
Be 0.5000 0.5000 0.5000  4 Zr 2.60

## Properties
E above lowest polymorph	0.25	kJ/mol of atoms
crystal system	orthorhombic
ΔE_f	0.457	eV per atom
total energy	-4.276	eV/atom
total magnetization	0.0	μB/f.u.


[4]
# CaGe2

A geometry-optimized CaGe2 structure (PBE, the Alexandria database).

abc: 4.0105 6.4282 5.6950
angles: 90.00 90.00 90.00
With the nearest neighbours (Å) after each atom.
Positions (direct):
Ca 0.2500 0.2500 0.1272  8 Ge 3.10-3.14
Ca 0.7500 0.7500 0.8728  8 Ge 3.10-3.14
Ge 0.2500 0.0490 0.6301  3 Ge 2.57-2.58
Ge 0.2500 0.4510 0.6301  3 Ge 2.57-2.58
Ge 0.7500 0.5490 0.3699  3 Ge 2.57-2.58
Ge 0.7500 0.9510 0.3699  3 Ge 2.57-2.58

## Properties
crystal system	orthorhombic
ΔE_f	-0.482	eV per atom
total energy	-4.227	eV/atom
total magnetization	0.0	μB/f.u.